Sr2Ag3Hg5: optimized geometry, PBE-GGA.

Results
Total energy: -1.59 eV/atom
ρ: 9.603 Mg/m³
DFT formation energy: -0.25 eV/atom

abc: 6.196 9.848 9.848
angles: 69.29 71.67 71.67
Element x y z (fractional)
Ag 0.844 0.739 0.573
Ag 0.750 0.000 0.000
Ag 0.344 0.573 0.739
Ag 0.656 0.427 0.261
Ag 0.250 0.000 0.000
Ag 0.156 0.261 0.427
Sr 0.853 0.427 0.868
Sr 0.147 0.573 0.132
Sr 0.647 0.132 0.573
Sr 0.353 0.868 0.427
Hg 0.074 0.120 0.732
Hg 0.926 0.880 0.268
Hg 0.426 0.268 0.880
Hg 0.750 0.500 0.500
Hg 0.945 0.805 0.805
Hg 0.555 0.195 0.195
Hg 0.055 0.195 0.195
Hg 0.250 0.500 0.500
Hg 0.445 0.805 0.805
Hg 0.574 0.732 0.120